Record 1
PmFeCu4: relaxed, PBE.

Total magnetization ... 2.66 μB/f.u.
Formation enthalpy at 0 K ... 0.0539 eV per atom

Structure (CIF):
```
data_PmFeCu4
_chemical_formula_sum 'Pm4 Fe4 Cu16'
_space_group_name_H-M_alt 'F -4 3 m'
_space_group_IT_number 216
_space_group_name_Hall 'F -4 2 3'
_cell_length_a 7.1263
_cell_length_b 7.1263
_cell_length_c 7.1263
_cell_angle_alpha 90.00
_cell_angle_beta 90.00
_cell_angle_gamma 90.00
loop_
_atom_site_label
_atom_site_type_symbol
_atom_site_fract_x
_atom_site_fract_y
_atom_site_fract_z
Pm1 Pm 0.0000 0.0000 0.0000
Fe1 Fe 0.2500 0.2500 0.2500
Cu1 Cu 0.1234 0.1234 0.6234
```

Record 2
Ac2TeAu: relaxed, PBE.

Excess energy over the best structure of this formula in the dataset ... 131 meV per atom
Total magnetization ... 0.50 μB/f.u.
Formation energy from raw total energies ... -0.99 eV per atom

Structure (CIF):
```
data_Ac2TeAu
_chemical_formula_sum 'Ac2 Te1 Au1'
_space_group_name_H-M_alt 'P 4/m m m'
_space_group_IT_number 123
_space_group_name_Hall '-P 4 2'
_cell_length_a 3.9817
_cell_length_b 3.9817
_cell_length_c 8.0810
_cell_angle_alpha 90.00
_cell_angle_beta 90.00
_cell_angle_gamma 90.00
loop_
_atom_site_label
_atom_site_type_symbol
_atom_site_fract_x
_atom_site_fract_y
_atom_site_fract_z
Ac1 Ac 0.0000 0.0000 0.2405
Te1 Te 0.5000 0.5000 0.5000
Au1 Au 0.5000 0.5000 0.0000
```

Record 3
HfAsCBr2: relaxed, PBE.

Excess energy over the best structure of this formula in the dataset ... 0 meV per atom
Total magnetization ... 1.08 μB/f.u.
Formation energy from raw total energies ... 1.00 eV per atom

Structure (CIF):
```
data_HfAsCBr2
_chemical_formula_sum 'Hf1 As1 C1 Br2'
_space_group_name_H-M_alt 'P 4/m m m'
_space_group_IT_number 123
_space_group_name_Hall '-P 4 2'
_cell_length_a 5.1965
_cell_length_b 5.1965
_cell_length_c 5.3266
_cell_angle_alpha 90.00
_cell_angle_beta 90.00
_cell_angle_gamma 90.00
loop_
_atom_site_label
_atom_site_type_symbol
_atom_site_fract_x
_atom_site_fract_y
_atom_site_fract_z
Hf1 Hf 0.0000 0.0000 0.0000
As1 As 0.0000 0.0000 0.5000
C1 C 0.5000 0.5000 0.5000
Br1 Br 0.0000 0.5000 0.0000
```

Record 4
Ti2Nb3W: relaxed, PBE.

Excess energy over the best structure of this formula in the dataset ... 165 meV per atom
Total magnetization ... 0.00 μB/f.u.
Formation enthalpy at 0 K ... 0.1793 eV per atom

Structure (CIF):
```
data_Ti2Nb3W
_chemical_formula_sum 'Ti8 Nb12 W4'
_space_group_name_H-M_alt 'C 1 2/c 1'
_space_group_IT_number 15
_space_group_name_Hall '-C 2yc'
_cell_length_a 6.6845
_cell_length_b 8.1775
_cell_length_c 7.9255
_cell_angle_alpha 90.00
_cell_angle_beta 97.94
_cell_angle_gamma 90.00
loop_
_atom_site_label
_atom_site_type_symbol
_atom_site_fract_x
_atom_site_fract_y
_atom_site_fract_z
Ti1 Ti 0.1254 0.2432 0.1264
Nb1 Nb 0.0000 0.1120 0.7500
Nb2 Nb 0.2428 0.4214 0.5149
W1 W 0.0000 0.4463 0.7500
```